# BeZnCr2 PBE-GGA relaxed
data_BeZnCr2
_chemical_formula_sum 'Be1 Zn1 Cr2'
_space_group_name_H-M_alt 'P 1'
_space_group_IT_number 1
_space_group_name_Hall 'P 1'
_cell_length_a 4.0718
_cell_length_b 4.0718
_cell_length_c 2.9126
_cell_angle_alpha 90.00
_cell_angle_beta 90.00
_cell_angle_gamma 90.00
loop_
_atom_site_label
_atom_site_fract_x
_atom_site_fract_y
_atom_site_fract_z
Be1 0.0000 0.0000 0.0000
Zn1 0.5000 0.5000 0.0000
Cr1 0.0000 0.5000 0.5000
Cr2 0.5000 0.0000 0.5000
# Offset from the most stable computed form = 6.572 kcal/mol of atoms
# VASP energy = -0.4168 Ry per atom
# Formation energy from the elements = 391 meV/atom
# Mass density = 6.14 g/cm³
# Calculated volume = 48.29 Å³ per cell



# BeZn2Cr PBE-GGA relaxed
data_BeZn2Cr
_chemical_formula_sum 'Be1 Zn2 Cr1'
_space_group_name_H-M_alt 'P 1'
_space_group_IT_number 1
_space_group_name_Hall 'P 1'
_cell_length_a 2.6725
_cell_length_b 2.6725
_cell_length_c 6.8385
_cell_angle_alpha 90.00
_cell_angle_beta 90.00
_cell_angle_gamma 90.00
loop_
_atom_site_label
_atom_site_fract_x
_atom_site_fract_y
_atom_site_fract_z
Be1 0.0000 0.0000 0.0000
Zn1 0.0000 0.0000 0.4873
Zn2 0.5000 0.5000 0.7772
Cr1 0.5000 0.5000 0.2120
# VASP energy = -0.2793 Ry per atom
# Formation energy from the elements = 174 meV/atom
# Mass density = 6.52 g/cm³
# Calculated volume = 48.84 Å³ per cell



# Be2ZnCr PBE-GGA relaxed
data_Be2ZnCr
_chemical_formula_sum 'Be2 Zn1 Cr1'
_space_group_name_H-M_alt 'P 1'
_space_group_IT_number 1
_space_group_name_Hall 'P 1'
_cell_length_a 2.4344
_cell_length_b 3.6918
_cell_length_c 4.8994
_cell_angle_alpha 90.00
_cell_angle_beta 99.93
_cell_angle_gamma 90.00
loop_
_atom_site_label
_atom_site_fract_x
_atom_site_fract_y
_atom_site_fract_z
Be1 0.1461 0.0000 0.2155
Be2 0.8539 0.0000 0.7845
Zn1 0.0000 0.5000 0.5000
Cr1 0.5000 0.5000 0.0000
# VASP energy = -0.3251 Ry per atom
# Formation energy from the elements = 165 meV/atom
# Mass density = 5.18 g/cm³
# Calculated volume = 43.37 Å³ per cell



# BeZn2Cr PBE-GGA relaxed
data_BeZn2Cr
_chemical_formula_sum 'Be3 Zn6 Cr3'
_space_group_name_H-M_alt 'P 1'
_space_group_IT_number 1
_space_group_name_Hall 'P 1'
_cell_length_a 2.5842
_cell_length_b 2.5842
_cell_length_c 25.7956
_cell_angle_alpha 90.00
_cell_angle_beta 90.00
_cell_angle_gamma 120.00
loop_
_atom_site_label
_atom_site_fract_x
_atom_site_fract_y
_atom_site_fract_z
Be1 0.0000 0.0000 0.0000
Be2 0.3333 0.6667 0.6667
Be3 0.6667 0.3333 0.3333
Zn1 0.0000 0.0000 0.2521
Zn2 0.0000 0.0000 0.4903
Zn3 0.3333 0.6667 0.1570
Zn4 0.3333 0.6667 0.9188
Zn5 0.6667 0.3333 0.5855
Zn6 0.6667 0.3333 0.8236
Cr1 0.0000 0.0000 0.7389
Cr2 0.3333 0.6667 0.4056
Cr3 0.6667 0.3333 0.0723
# VASP energy = -0.2748 Ry per atom
# Formation energy from the elements = 236 meV/atom
# Mass density = 6.41 g/cm³
# Calculated volume = 149.19 Å³ per cell



# BeZnCr2 PBE-GGA relaxed
data_BeZnCr2
_chemical_formula_sum 'Be1 Zn1 Cr2'
_space_group_name_H-M_alt 'P 1'
_space_group_IT_number 1
_space_group_name_Hall 'P 1'
_cell_length_a 2.4107
_cell_length_b 2.4107
_cell_length_c 7.8315
_cell_angle_alpha 90.00
_cell_angle_beta 90.00
_cell_angle_gamma 90.00
loop_
_atom_site_label
_atom_site_fract_x
_atom_site_fract_y
_atom_site_fract_z
Be1 0.0000 0.0000 0.0000
Zn1 0.5000 0.5000 0.7616
Cr1 0.0000 0.0000 0.4925
Cr2 0.5000 0.5000 0.2214
# Offset from the most stable computed form = 2.017 kcal/mol of atoms
# VASP energy = -0.4313 Ry per atom
# Formation energy from the elements = 194 meV/atom
# Mass density = 6.51 g/cm³
# Calculated volume = 45.51 Å³ per cell



# BeZnCr2 PBE-GGA relaxed
data_BeZnCr2
_chemical_formula_sum 'Be3 Zn3 Cr6'
_space_group_name_H-M_alt 'P 1'
_space_group_IT_number 1
_space_group_name_Hall 'P 1'
_cell_length_a 2.5309
_cell_length_b 2.5309
_cell_length_c 25.1282
_cell_angle_alpha 90.00
_cell_angle_beta 90.00
_cell_angle_gamma 120.00
loop_
_atom_site_label
_atom_site_fract_x
_atom_site_fract_y
_atom_site_fract_z
Be1 0.0000 0.0000 0.0000
Be2 0.3333 0.6667 0.6667
Be3 0.6667 0.3333 0.3333
Zn1 0.0000 0.0000 0.5000
Zn2 0.3333 0.6667 0.1667
Zn3 0.6667 0.3333 0.8333
Cr1 0.0000 0.0000 0.2555
Cr2 0.0000 0.0000 0.7445
Cr3 0.3333 0.6667 0.4112
Cr4 0.3333 0.6667 0.9221
Cr5 0.6667 0.3333 0.0779
Cr6 0.6667 0.3333 0.5888
# Offset from the most stable computed form = 5.071 kcal/mol of atoms
# VASP energy = -0.4215 Ry per atom
# Formation energy from the elements = 326 meV/atom
# Mass density = 6.38 g/cm³
# Calculated volume = 139.39 Å³ per cell